Below is a relaxed Pr4ScZn5 crystal, with properties calculated at the PBE level.

```
Pr4ScZn5
1.0
-0.626 -2.499 2.553
2.764 -1.981 -1.261
11.474 8.757 11.386
Pr Zn Sc
4 5 1
Cartesian
4.543 3.467 4.508
6.931 5.290 6.878
2.164 1.652 2.148
9.310 7.105 9.238
1.970 -1.552 1.541
6.806 2.138 6.339
11.641 5.829 11.137
4.436 0.330 3.987
9.176 3.947 8.691
0.000 0.000 0.000
```

**Calculated volume**: 242 Å³ per cell
**Formation enthalpy at 0 K**: -28.4 kJ per mole of atoms

Below is a relaxed PrScZn crystal, with properties calculated at the PBE level.

```
PrScZn
1.0
-0.170 3.223 -1.424
-2.974 0.634 1.789
4.802 0.270 4.409
Sc Pr Zn
1 1 1
Cartesian
1.950 1.327 2.772
0.074 0.050 0.105
-0.366 2.749 1.897
```

**Calculated volume**: 75 Å³ per cell
**ΔE to the lowest computed polymorph**: 0.0 kJ per mole of atoms
**Formation enthalpy at 0 K**: -17.3 kJ per mole of atoms

Below is a relaxed PrSc5Zn6 crystal, with properties calculated at the PBE level.

```
PrSc5Zn6
1.0
4.607 0.019 -1.346
-0.947 6.064 -3.158
-0.068 0.409 8.350
Zn Sc Pr
6 5 1
Cartesian
-0.083 5.650 -0.198
3.675 0.842 4.043
2.039 1.702 -1.555
0.361 2.813 1.279
1.553 4.790 5.400
3.231 3.679 2.566
2.879 1.137 1.319
0.713 5.355 2.526
-0.473 3.032 -1.579
1.166 2.282 4.033
2.426 4.209 -0.188
0.000 0.000 0.000
```

**Calculated volume**: 239 Å³ per cell
**Formation enthalpy at 0 K**: -31.7 kJ per mole of atoms

Below is a relaxed Pr2ScZn4 crystal, with properties calculated at the PBE level.

```
Pr2ScZn4
1.0
4.876 0.000 -1.554
-0.495 4.851 -1.554
-0.344 -0.381 7.346
Sc Zn Pr
1 4 2
Cartesian
0.000 0.000 0.000
3.915 1.636 3.857
0.121 2.834 0.380
1.230 4.061 3.857
2.807 0.409 0.380
3.019 3.343 1.044
1.018 1.127 3.193
```

**Calculated volume**: 168 Å³ per cell
**Formation enthalpy at 0 K**: -13.9 kJ per mole of atoms

Below is a relaxed PrScZn4 crystal, with properties calculated at the PBE level.

```
PrScZn4
1.0
2.016 -3.594 -1.573
2.889 -2.188 2.515
-5.312 -4.087 2.540
Sc Zn Pr
1 4 1
Cartesian
-0.204 -4.934 1.741
-0.751 -2.172 0.908
0.343 -7.697 2.575
-2.926 -3.842 1.947
2.518 -6.026 1.536
2.452 -2.891 0.471
```

**Calculated volume**: 121 Å³ per cell
**ΔE to the lowest computed polymorph**: 0.0 kJ per mole of atoms
**Formation enthalpy at 0 K**: -34.5 kJ per mole of atoms

Below is a relaxed Pr6ScZn2 crystal, with properties calculated at the PBE level.

```
Pr6ScZn2
1.0
3.653 0.000 0.580
1.604 6.246 1.690
0.002 -0.125 11.785
Pr Zn Sc
6 2 1
Cartesian
1.941 2.953 11.362
3.318 3.167 2.693
4.726 4.600 5.615
0.533 1.521 8.440
2.393 4.798 8.515
2.866 1.323 5.540
3.775 5.528 11.605
1.484 0.593 2.450
0.000 0.000 0.000
```

**Calculated volume**: 270 Å³ per cell
**Formation enthalpy at 0 K**: -10.3 kJ per mole of atoms

Below is a relaxed PrScZn crystal, with properties calculated at the PBE level.

```
PrScZn
1.0
4.867 0.000 0.000
2.434 4.215 0.000
2.434 1.405 8.167
Sc Pr Zn
2 2 2
Cartesian
4.867 2.810 7.315
4.867 2.810 0.852
7.301 4.215 2.905
2.434 1.405 5.262
2.434 1.405 1.871
7.301 4.215 6.295
```

**Calculated volume**: 168 Å³ per cell
**ΔE to the lowest computed polymorph**: 23.0 kJ per mole of atoms
**Formation enthalpy at 0 K**: 5.7 kJ per mole of atoms

Below is a relaxed PrSc3Zn2 crystal, with properties calculated at the PBE level.

```
PrSc3Zn2
1.0
-0.278 3.131 -1.263
-1.558 -1.243 -2.739
-10.387 1.235 5.348
Pr Zn Sc
1 2 3
Cartesian
-6.112 1.562 0.673
-9.849 2.006 2.597
-2.374 1.117 -1.251
-2.911 0.346 1.499
0.000 0.000 0.000
-7.477 0.889 3.849
```

**Calculated volume**: 135 Å³ per cell
**Formation enthalpy at 0 K**: -21.6 kJ per mole of atoms

Below is a relaxed Pr3ScZn4 crystal, with properties calculated at the PBE level.

```
Pr3ScZn4
1.0
-2.933 -1.962 0.726
1.542 -2.873 -1.533
5.757 -3.819 12.943
Sc Pr Zn
1 3 4
Cartesian
-0.696 -2.417 -0.404
3.695 -5.330 9.467
2.183 -4.327 6.068
0.671 -3.324 2.669
2.134 -1.416 4.797
5.189 -3.442 11.666
0.568 -0.377 1.277
3.623 -2.404 8.146
```

**Calculated volume**: 190 Å³ per cell
**Formation enthalpy at 0 K**: -28.5 kJ per mole of atoms

Below is a relaxed PrSc2Zn9 crystal, with properties calculated at the PBE level.

```
PrSc2Zn9
1.0
-3.207 -2.755 3.288
-4.195 -2.679 -1.975
2.394 -8.677 -0.574
Zn Sc Pr
9 2 1
Cartesian
-0.947 -8.236 -1.336
-0.101 -10.450 -0.131
-4.567 -5.837 -0.622
-4.061 -5.875 2.075
-2.504 -7.056 0.369
-4.908 -3.661 0.869
-2.418 -4.464 0.390
-0.441 -8.274 1.361
-2.590 -9.647 0.349
-5.303 -8.398 0.876
0.295 -5.713 -0.137
0.000 0.000 0.000
```

**Calculated volume**: 210 Å³ per cell
**Formation enthalpy at 0 K**: -30.9 kJ per mole of atoms

Below is a relaxed Pr5ScZn4 crystal, with properties calculated at the PBE level.

```
Pr5ScZn4
1.0
-3.154 -1.315 1.437
1.838 -1.104 3.025
-3.372 17.166 8.312
Pr Zn Sc
5 4 1
Cartesian
-2.990 10.662 7.979
-1.053 0.801 3.204
-3.635 13.946 9.570
-1.698 4.085 4.795
-2.344 7.374 6.387
-2.663 13.554 6.563
-2.008 10.224 4.951
-0.710 3.612 1.749
-1.364 6.942 3.361
0.000 0.000 0.000
```

**Calculated volume**: 266 Å³ per cell
**Formation enthalpy at 0 K**: -21.2 kJ per mole of atoms

Below is a relaxed PrScZn2 crystal, with properties calculated at the PBE level.

```
PrScZn2
1.0
-3.906 -0.754 3.063
0.509 -2.936 4.041
-0.016 2.027 4.593
Sc Zn Pr
1 2 1
Cartesian
-1.706 -0.832 5.849
-0.853 -0.416 2.924
-2.559 -1.248 8.773
0.000 0.000 0.000
```

**Calculated volume**: 89 Å³ per cell
**ΔE to the lowest computed polymorph**: 1.8 kJ per mole of atoms
**Formation enthalpy at 0 K**: -28.5 kJ per mole of atoms